A PBEsol-optimized structure of InSi2F. Source: the Alexandria database, functional meta-GGA SCAN.

Geometry as extended XYZ:
```
4
Lattice="0.0000 3.1775 3.1775 3.1775 0.0000 3.1775 3.1775 3.1775 0.0000" Properties=species:S:1:pos:R:3 pbc="T T T"
In 0.0000 0.0000 0.0000
Si 1.5888 1.5888 1.5888
Si 4.7663 4.7663 4.7663
F 3.1775 3.1775 3.1775
```

Symmetry: Fm-3m
Raw formation energy: 0.019 eV/atom
Crystal system: cubic
Magnetic moment: 0.00 μB per formula unit
Total energy: -14.221 eV per atom
Calculated volume: 64.2 Å³ per cell


A PBEsol-optimized structure of KSrPd2Pb. Source: the Alexandria database, functional meta-GGA SCAN.

Geometry as extended XYZ:
```
5
Lattice="5.1221 0.0000 0.0000 0.0000 5.1221 0.0000 0.0000 0.0000 5.6762" Properties=species:S:1:pos:R:3 pbc="T T T"
K 0.0000 0.0000 0.0000
Sr 2.5611 2.5611 2.8381
Pd 0.0000 2.5611 0.0000
Pd 2.5611 0.0000 0.0000
Pb 0.0000 0.0000 2.8381
```

Symmetry: P4/mmm
Crystal system: tetragonal
Magnetic moment: 0.00 μB per formula unit
Total energy: -33.763 eV per atom
Calculated volume: 148.9 Å³ per cell


A PBEsol-optimized structure of LaReRu2. Source: the Alexandria database, functional meta-GGA SCAN.

Geometry as extended XYZ:
```
4
Lattice="1.4096 0.8138 9.6613 -1.4096 0.8138 9.6613 0.0000 -1.6277 9.6613" Properties=species:S:1:pos:R:3 pbc="T T T"
La 0.0000 0.0000 0.0000
Re 0.0000 0.0000 12.5002
Ru 0.0000 0.0000 16.5815
Ru 0.0000 0.0000 24.2091
```

Distance to the lowest polymorph of the same formula: 0.1417 eV/atom
Symmetry: R3m
Crystal system: trigonal
Magnetic moment: 0.00 μB per formula unit
Total energy: -45.437 eV per atom
Calculated volume: 66.5 Å³ per cell


A PBEsol-optimized structure of Li2AlHg. Source: the Alexandria database, functional meta-GGA SCAN.

Geometry as extended XYZ:
```
4
Lattice="-1.9067 2.0505 4.2655 1.9067 -2.0505 4.2655 1.9067 2.0505 -4.2655" Properties=species:S:1:pos:R:3 pbc="T T T"
Li 0.0000 0.0000 2.1220
Li 0.0000 0.0000 6.4091
Al 0.0000 2.0505 0.0000
Hg 1.9067 0.0000 0.0000
```

Symmetry: Immm
Crystal system: orthorhombic
Magnetic moment: 0.00 μB per formula unit
Total energy: -20.480 eV per atom
Calculated volume: 66.7 Å³ per cell


A PBEsol-optimized structure of RbCaCl3. Source: the Alexandria database, functional meta-GGA SCAN.

Geometry as extended XYZ:
```
10
Lattice="3.7652 2.1738 6.0222 -3.7652 2.1738 6.0222 0.0000 -4.3476 6.0222" Properties=species:S:1:pos:R:3 pbc="T T T"
Rb 0.0000 0.0000 4.5166
Rb 0.0000 0.0000 13.5499
Ca 0.0000 0.0000 0.0000
Ca 0.0000 0.0000 9.0333
Cl -2.1236 0.6695 7.5277
Cl -1.6416 -1.5044 10.5388
Cl 0.4820 -2.1738 7.5277
Cl -0.4820 2.1738 10.5388
Cl 1.6416 1.5044 7.5277
Cl 2.1236 -0.6695 10.5388
```

Symmetry: R-3c
Raw formation energy: -2.504 eV/atom
Crystal system: trigonal
Magnetic moment: 0.00 μB per formula unit
Total energy: -13.372 eV per atom
Calculated volume: 295.7 Å³ per cell


A PBEsol-optimized structure of Sm4Sb3. Source: the Alexandria database, functional meta-GGA SCAN.

Geometry as extended XYZ:
```
14
Lattice="-4.6208 4.6208 4.6208 4.6208 -4.6208 4.6208 4.6208 4.6208 -4.6208" Properties=species:S:1:pos:R:3 pbc="T T T"
Sm 2.9717 1.6491 -1.6491
Sm 5.2821 -0.6613 0.6613
Sm 1.6491 -1.6491 2.9717
Sm 1.6491 1.6491 1.6491
Sm -1.6491 2.9717 1.6491
Sm 0.6613 5.2821 -0.6613
Sm -0.6613 0.6613 5.2821
Sm 3.9595 3.9595 3.9595
Sb 4.6208 -2.3104 3.4656
Sb 3.4656 4.6208 -2.3104
Sb 4.6208 2.3104 1.1552
Sb 2.3104 1.1552 4.6208
Sb 1.1552 4.6208 2.3104
Sb -2.3104 3.4656 4.6208
```

Symmetry: I-43d
Raw formation energy: -1.150 eV/atom
Crystal system: cubic
Magnetic moment: 0.00 μB per formula unit
Total energy: -42.514 eV per atom
Calculated volume: 394.6 Å³ per cell


A PBEsol-optimized structure of Li3NF. Source: the Alexandria database, functional meta-GGA SCAN.

Geometry as extended XYZ:
```
5
Lattice="3.5728 0.0000 0.0000 0.0000 3.5728 0.0000 0.0000 0.0000 3.5728" Properties=species:S:1:pos:R:3 pbc="T T T"
Li 0.0000 0.0000 1.7864
Li 0.0000 1.7864 0.0000
Li 1.7864 0.0000 0.0000
N 1.7864 1.7864 1.7864
F 0.0000 0.0000 0.0000
```

Symmetry: Pm-3m
Raw formation energy: -1.115 eV/atom
Crystal system: cubic
Magnetic moment: 1.00 μB per formula unit
Total energy: -5.115 eV per atom
Calculated volume: 45.6 Å³ per cell


A PBEsol-optimized structure of K3Te. Source: the Alexandria database, functional meta-GGA SCAN.

Geometry as extended XYZ:
```
4
Lattice="2.6962 1.5567 9.2195 -2.6962 1.5567 9.2195 0.0000 -3.1133 9.2195" Properties=species:S:1:pos:R:3 pbc="T T T"
K 0.0000 0.0000 0.0000
K 0.0000 0.0000 5.9059
K 0.0000 0.0000 21.7527
Te 0.0000 0.0000 13.8293
```

Distance to the lowest polymorph of the same formula: 0.0000 eV/atom
Symmetry: R-3m
Raw formation energy: -0.691 eV/atom
Crystal system: trigonal
Magnetic moment: 0.00 μB per formula unit
Total energy: -16.250 eV per atom
Calculated volume: 232.2 Å³ per cell


A PBEsol-optimized structure of CaAsI2. Source: the Alexandria database, functional meta-GGA SCAN.

Geometry as extended XYZ:
```
8
Lattice="-2.6244 2.6244 9.8790 2.6244 -2.6244 9.8790 2.6244 2.6244 -9.8790" Properties=species:S:1:pos:R:3 pbc="T T T"
Ca 0.0000 0.0000 0.0000
Ca 0.0000 2.6244 4.9395
As 2.6244 0.0000 4.9395
As 0.0000 0.0000 9.8790
I 1.3122 -1.2373 7.4093
I 1.3871 1.3122 2.4698
I 1.3122 3.8617 -2.4698
I 1.2373 1.3122 12.3488
```

Distance to the lowest polymorph of the same formula: 0.0000 eV/atom
Symmetry: I-42d
Raw formation energy: -0.399 eV/atom
Crystal system: tetragonal
Magnetic moment: 0.00 μB per formula unit
Total energy: -26.233 eV per atom
Calculated volume: 272.2 Å³ per cell


A PBEsol-optimized structure of Fe2CoIr. Source: the Alexandria database, functional meta-GGA SCAN.

Geometry as extended XYZ:
```
4
Lattice="-1.4056 2.0839 4.0823 1.4056 -2.0839 4.0823 1.4056 2.0839 -4.0823" Properties=species:S:1:pos:R:3 pbc="T T T"
Fe 0.0000 0.0000 1.9658
Fe 0.0000 0.0000 6.1988
Co 1.4056 0.0000 0.0000
Ir 0.0000 2.0839 0.0000
```

Symmetry: Immm
Crystal system: orthorhombic
Magnetic moment: 8.54 μB per formula unit
Total energy: -31.317 eV per atom
Calculated volume: 47.8 Å³ per cell


A PBEsol-optimized structure of Rb3LaN. Source: the Alexandria database, functional meta-GGA SCAN.

Geometry as extended XYZ:
```
5
Lattice="7.3841 0.0000 0.0000 0.0000 7.3841 0.0000 0.0000 0.0000 7.3841" Properties=species:S:1:pos:R:3 pbc="T T T"
Rb 0.0000 0.0000 3.6920
Rb 0.0000 3.6920 0.0000
Rb 3.6920 0.0000 0.0000
La 0.0000 0.0000 0.0000
N 3.6920 3.6920 3.6920
```

Symmetry: Pm-3m
Raw formation energy: 1.541 eV/atom
Crystal system: cubic
Magnetic moment: 1.88 μB per formula unit
Total energy: -21.382 eV per atom
Calculated volume: 402.6 Å³ per cell


A PBEsol-optimized structure of ZrSi4P. Source: the Alexandria database, functional meta-GGA SCAN.

Geometry as extended XYZ:
```
6
Lattice="0.0000 3.5371 3.5371 3.5371 0.0000 3.5371 3.5371 3.5371 0.0000" Properties=species:S:1:pos:R:3 pbc="T T T"
Zr 0.0000 0.0000 0.0000
Si 2.6592 2.6592 2.6592
Si 4.4150 4.4150 2.6592
Si 4.4150 2.6592 4.4150
Si 2.6592 4.4150 4.4150
P 5.3057 5.3057 5.3057
```

Symmetry: F-43m
Raw formation energy: 0.098 eV/atom
Crystal system: cubic
Magnetic moment: 0.00 μB per formula unit
Total energy: -13.429 eV per atom
Calculated volume: 88.5 Å³ per cell


Please write out number 9 again, unchanged.
A PBEsol-optimized structure of CaAsI2. Source: the Alexandria database, functional meta-GGA SCAN.

Geometry as extended XYZ:
```
8
Lattice="-2.6244 2.6244 9.8790 2.6244 -2.6244 9.8790 2.6244 2.6244 -9.8790" Properties=species:S:1:pos:R:3 pbc="T T T"
Ca 0.0000 0.0000 0.0000
Ca 0.0000 2.6244 4.9395
As 2.6244 0.0000 4.9395
As 0.0000 0.0000 9.8790
I 1.3122 -1.2373 7.4093
I 1.3871 1.3122 2.4698
I 1.3122 3.8617 -2.4698
I 1.2373 1.3122 12.3488
```

Distance to the lowest polymorph of the same formula: 0.0000 eV/atom
Symmetry: I-42d
Raw formation energy: -0.399 eV/atom
Crystal system: tetragonal
Magnetic moment: 0.00 μB per formula unit
Total energy: -26.233 eV per atom
Calculated volume: 272.2 Å³ per cell